No. 1
A plane-wave DFT calculation with PBE was carried out for a relaxed structure of Pr2NiN3.

a b c (Å): 6.8154 6.8154 6.8154
angles (deg): 149.28 148.11 44.87
Site moments in Bohr magnetons follow the coordinates.
Atoms (fractional coordinates):
Pr 0.6470 0.6470 0.0000  0.00
Pr 0.3530 0.3530 0.0000  0.00
Ni 0.0000 0.0000 0.0000  0.40
N 0.5000 0.0000 0.5000  0.30
N 0.8406 0.8406 0.0000  0.09
N 0.1594 0.1594 0.0000  0.09

No. 2
A plane-wave DFT calculation with PBE was carried out for a relaxed structure of Pr3Ni3N2.

a b c (Å): 5.7477 5.7477 5.7477
angles (deg): 77.24 77.24 77.24
Site moments in Bohr magnetons follow the coordinates.
Atoms (fractional coordinates):
Ni 0.0936 0.0936 0.0936  0.77
Ni 0.5000 0.5000 0.5000  0.00
Ni 0.9064 0.9064 0.9064  0.77
Pr 0.0000 0.5000 0.5000  0.01
Pr 0.5000 0.0000 0.5000  -0.01
Pr 0.5000 0.5000 0.0000  0.01
N 0.7601 0.7601 0.7601  0.14
N 0.2399 0.2399 0.2399  0.14

No. 3
A plane-wave DFT calculation with PBE was carried out for a relaxed structure of Rb2NiWN4.

a b c (Å): 5.8260 5.8260 5.8260
angles (deg): 119.65 119.65 90.61
Site moments in Bohr magnetons follow the coordinates.
Atoms (fractional coordinates):
W 0.2500 0.7500 0.5000  0.03
N 0.4568 0.1303 0.8337  0.04
N 0.3769 0.5432 0.6734  0.04
N 0.2965 0.6231 0.1663  0.04
N 0.8697 0.7035 0.3266  0.04
Rb 0.0000 0.0000 0.0000  0.00
Rb 0.7500 0.2500 0.5000  0.00
Ni 0.5000 0.5000 0.0000  0.28

Calculated total energy list, top to bottom, in eV/atom: -7.47; -6.04; -6.72
Size of the total moment list, top to bottom, in μB/f.u.: 1.05; 1.78; 0.57